Below is a PBEsol-optimized structure of Zr2P2Au, with properties calculated at the meta-GGA SCAN level.

Output
Energy of formation from the pure elements   -81.20 kJ/mol of atoms
Volume   19.0 A^3/atom

Unit cell a=4.987 b=4.987 c=7.631 alpha=90.00 beta=90.00 gamma=90.00
Space group I4/mmm (No. 139)
Unique sites:
Zr: 0.000 0.500 0.250 [4 per cell]
P: 0.000 0.000 0.176 [4 per cell]
Au: 0.000 0.000 0.500 [2 per cell]